No. 1
# Tm8ScCd2 | the Alexandria database | PBE | optimized geometry
# * SG: C2/m
# * total magnetic moment: 0.00 μB/cell
# * ΔH_f (0 K): 0.045 eV per atom
# * DOS at the Fermi energy: 16.15 states/eV/cell
data_Tm8ScCd2
_symmetry_space_group_name_H-M 'P 1'
_symmetry_Int_Tables_number 1
_cell_length_a 8.5770
_cell_length_b 8.5770
_cell_length_c 5.4029
_cell_angle_alpha 101.09
_cell_angle_beta 101.09
_cell_angle_gamma 119.42
loop_
_symmetry_equiv_pos_as_xyz
'x,y,z'
loop_
_atom_site_label
_atom_site_fract_x
_atom_site_fract_y
_atom_site_fract_z
_atom_site_occupancy
Tm1 0.0938 0.3183 0.6144 1
Tm2 0.2151 0.7849 0.0000 1
Tm3 0.3183 0.0938 0.6144 1
Tm4 0.3906 0.3906 0.1995 1
Tm5 0.6094 0.6094 0.8005 1
Tm6 0.6817 0.9062 0.3856 1
Tm7 0.7849 0.2151 0.0000 1
Tm8 0.9062 0.6817 0.3856 1
Sc1 0.0000 0.0000 0.0000 1
Cd1 0.3060 0.6940 0.5000 1
Cd2 0.6940 0.3060 0.5000 1

=====

No. 2
# TmSc2Cd8 | the Alexandria database | PBE | optimized geometry
# * SG: C2/m
# * total magnetic moment: 0.00 μB/cell
# * ΔH_f (0 K): -0.164 eV per atom
# * DOS at the Fermi energy: 5.60 states/eV/cell
data_TmSc2Cd8
_symmetry_space_group_name_H-M 'P 1'
_symmetry_Int_Tables_number 1
_cell_length_a 8.7217
_cell_length_b 8.7217
_cell_length_c 5.2635
_cell_angle_alpha 106.84
_cell_angle_beta 106.84
_cell_angle_gamma 125.77
loop_
_symmetry_equiv_pos_as_xyz
'x,y,z'
loop_
_atom_site_label
_atom_site_fract_x
_atom_site_fract_y
_atom_site_fract_z
_atom_site_occupancy
Tm1 0.0000 0.0000 0.0000 1
Sc1 0.3136 0.6864 0.5000 1
Sc2 0.6864 0.3136 0.5000 1
Cd1 0.1002 0.3685 0.7484 1
Cd2 0.2007 0.7993 0.0000 1
Cd3 0.3685 0.1002 0.7484 1
Cd4 0.4794 0.4794 0.7268 1
Cd5 0.5206 0.5206 0.2732 1
Cd6 0.6315 0.8998 0.2516 1
Cd7 0.7993 0.2007 0.0000 1
Cd8 0.8998 0.6315 0.2516 1

=====

No. 3
# Tm2Sc8Cd | the Alexandria database | PBE | optimized geometry
# * SG: C2/m
# * total magnetic moment: 0.00 μB/cell
# * ΔH_f (0 K): 0.123 eV per atom
# * DOS at the Fermi energy: 20.25 states/eV/cell
data_Tm2Sc8Cd
_symmetry_space_group_name_H-M 'P 1'
_symmetry_Int_Tables_number 1
_cell_length_a 9.2606
_cell_length_b 9.2606
_cell_length_c 5.2244
_cell_angle_alpha 92.63
_cell_angle_beta 92.63
_cell_angle_gamma 40.08
loop_
_symmetry_equiv_pos_as_xyz
'x,y,z'
loop_
_atom_site_label
_atom_site_fract_x
_atom_site_fract_y
_atom_site_fract_z
_atom_site_occupancy
Tm1 0.2203 0.2203 0.2558 1
Tm2 0.7797 0.7797 0.7442 1
Sc1 0.0493 0.0493 0.2313 1
Sc2 0.1124 0.6410 0.2622 1
Sc3 0.3279 0.3279 0.7707 1
Sc4 0.3590 0.8876 0.7378 1
Sc5 0.6410 0.1124 0.2622 1
Sc6 0.6721 0.6721 0.2293 1
Sc7 0.8876 0.3590 0.7378 1
Sc8 0.9507 0.9507 0.7687 1
Cd1 0.5000 0.5000 0.0000 1

=====

No. 4
# Tm4Sc5Cd | the Alexandria database | PBE | optimized geometry
# * SG: I4mm
# * total magnetic moment: 0.00 μB/cell
# * ΔH_f (0 K): 0.129 eV per atom
# * DOS at the Fermi energy: 13.53 states/eV/cell
data_Tm4Sc5Cd
_symmetry_space_group_name_H-M 'P 1'
_symmetry_Int_Tables_number 1
_cell_length_a 7.6159
_cell_length_b 7.6159
_cell_length_c 7.6159
_cell_angle_alpha 97.26
_cell_angle_beta 97.26
_cell_angle_gamma 138.36
loop_
_symmetry_equiv_pos_as_xyz
'x,y,z'
loop_
_atom_site_label
_atom_site_fract_x
_atom_site_fract_y
_atom_site_fract_z
_atom_site_occupancy
Tm1 0.0000 0.3182 0.3182 1
Tm2 0.0000 0.6818 0.6818 1
Tm3 0.3182 0.0000 0.3182 1
Tm4 0.6818 0.0000 0.6818 1
Sc1 0.2167 0.2167 0.0000 1
Sc2 0.3173 0.3173 0.6313 1
Sc3 0.3173 0.6860 0.0000 1
Sc4 0.6860 0.3173 0.0000 1
Sc5 0.6860 0.6860 0.3687 1
Cd1 0.7329 0.7329 0.0000 1

=====

What did the third record say?
# Tm2Sc8Cd | the Alexandria database | PBE | optimized geometry
# * SG: C2/m
# * total magnetic moment: 0.00 μB/cell
# * ΔH_f (0 K): 0.123 eV per atom
# * DOS at the Fermi energy: 20.25 states/eV/cell
data_Tm2Sc8Cd
_symmetry_space_group_name_H-M 'P 1'
_symmetry_Int_Tables_number 1
_cell_length_a 9.2606
_cell_length_b 9.2606
_cell_length_c 5.2244
_cell_angle_alpha 92.63
_cell_angle_beta 92.63
_cell_angle_gamma 40.08
loop_
_symmetry_equiv_pos_as_xyz
'x,y,z'
loop_
_atom_site_label
_atom_site_fract_x
_atom_site_fract_y
_atom_site_fract_z
_atom_site_occupancy
Tm1 0.2203 0.2203 0.2558 1
Tm2 0.7797 0.7797 0.7442 1
Sc1 0.0493 0.0493 0.2313 1
Sc2 0.1124 0.6410 0.2622 1
Sc3 0.3279 0.3279 0.7707 1
Sc4 0.3590 0.8876 0.7378 1
Sc5 0.6410 0.1124 0.2622 1
Sc6 0.6721 0.6721 0.2293 1
Sc7 0.8876 0.3590 0.7378 1
Sc8 0.9507 0.9507 0.7687 1
Cd1 0.5000 0.5000 0.0000 1